Entry 1:
# La2AgOs (GGA-PBE, relaxed)
data_La2AgOs
_cell_length_a 3.510
_cell_length_b 3.556
_cell_length_c 8.114
_cell_angle_alpha 90.00
_cell_angle_beta 90.00
_cell_angle_gamma 90.00
_space_group_name_H-M_alt 'P m m m'
_space_group_IT_number 47
loop_
_space_group_symop_operation_xyz
'x,y,z'
'-x,-y,-z'
'-x,-y,z'
'x,y,-z'
'x,-y,-z'
'-x,y,z'
'-x,y,-z'
'x,-y,z'
loop_
_atom_site_label
_atom_site_type_symbol
_atom_site_fract_x
_atom_site_fract_y
_atom_site_fract_z
La1 La 0.000 0.000 0.219
Ag1 Ag 0.500 0.500 0.500
Os1 Os 0.500 0.500 0.000
# spin magnetization = 0.000 μB/f.u.
# total DFT energy (no corrections) = -6.14 eV per atom
# N(E_F) = 2.716 states/eV/cell

Entry 2:
# KBeBr (GGA-PBE, relaxed)
data_KBeBr
_cell_length_a 4.1339
_cell_length_b 4.1339
_cell_length_c 6.3253
_cell_angle_alpha 90.00
_cell_angle_beta 90.00
_cell_angle_gamma 120.00
_space_group_name_H-M_alt 'P 3 m 1'
_space_group_IT_number 156
loop_
_space_group_symop_operation_xyz
'x,y,z'
'-y,x-y,z'
'-x+y,-x,z'
'-y,-x,z'
'-x+y,y,z'
'x,x-y,z'
loop_
_atom_site_label
_atom_site_type_symbol
_atom_site_fract_x
_atom_site_fract_y
_atom_site_fract_z
K1 K 0.0000 0.0000 0.0000
Be1 Be 0.6667 0.3333 0.3844
Br1 Br 0.3333 0.6667 0.6267
# offset from the most stable computed form = 0 meV/atom
# formation energy (no corrections) = 0.13 eV/f.u.
# spin magnetization = 0.000 μB/f.u.
# total DFT energy (no corrections) = -2.12 eV per atom

Entry 3:
# AcPr6YTm2 (GGA-PBE, relaxed)
data_AcPr6YTm2
_cell_length_a 9.464
_cell_length_b 15.526
_cell_length_c 9.827
_cell_angle_alpha 90.00
_cell_angle_beta 96.13
_cell_angle_gamma 90.00
_space_group_name_H-M_alt 'C 1 2/c 1'
_space_group_IT_number 15
loop_
_space_group_symop_operation_xyz
'x,y,z'
'-x,-y,-z'
'-x,y,-z+1/2'
'x,-y,z+1/2'
'x+1/2,y+1/2,z'
'-x+1/2,-y+1/2,-z'
'-x+1/2,y+1/2,-z+1/2'
'x+1/2,-y+1/2,z+1/2'
loop_
_atom_site_label
_atom_site_type_symbol
_atom_site_fract_x
_atom_site_fract_y
_atom_site_fract_z
Ac1 Ac 0.000 0.030 0.250
Pr1 Pr 0.063 0.181 0.946
Pr2 Pr 0.098 0.390 0.118
Pr3 Pr 0.220 0.227 0.318
Y1 Y 0.000 0.412 0.750
Tm1 Tm 0.241 0.447 0.452
# spin magnetization = 0.000 μB/f.u.
# total DFT energy (no corrections) = -4.70 eV per atom
# N(E_F) = 58.185 states/eV/cell

Entry 4:
# MoPb (GGA-PBE, relaxed)
data_MoPb
_cell_length_a 3.547
_cell_length_b 10.758
_cell_length_c 4.456
_cell_angle_alpha 90.00
_cell_angle_beta 90.00
_cell_angle_gamma 90.00
_space_group_name_H-M_alt 'C m c m'
_space_group_IT_number 63
_space_group_name_Hall '-C 2c 2'
loop_
_atom_site_label
_atom_site_type_symbol
_atom_site_fract_x
_atom_site_fract_y
_atom_site_fract_z
Mo1 Mo 0.000 0.063 0.250
Pb1 Pb 0.000 0.342 0.250
# offset from the most stable computed form = 270 meV/atom
# spin magnetization = 0.000 μB/f.u.
# total DFT energy (no corrections) = -6.67 eV per atom
# N(E_F) = 4.448 states/eV/cell